Material: K3Bi5Cl12
Method: DFT, PBE
State: relaxed

Geometry as CIF:
```
data_K3Bi5Cl12
_chemical_formula_sum 'K12 Bi20 Cl48'
_symmetry_space_group_name_H-M 'P 1'
_symmetry_Int_Tables_number 1
_cell_length_a 16.2070
_cell_length_b 16.2070
_cell_length_c 16.2070
_cell_angle_alpha 109.47
_cell_angle_beta 109.47
_cell_angle_gamma 109.47
loop_
_symmetry_equiv_pos_as_xyz
'x,y,z'
loop_
_atom_site_label
_atom_site_type_symbol
_atom_site_fract_x
_atom_site_fract_y
_atom_site_fract_z
K1 K 0.7500 0.3750 0.1250
K2 K 0.8750 0.7500 0.1250
K3 K 0.3750 0.7500 0.6250
K4 K 0.2500 0.1250 0.3750
K5 K 0.8750 0.1250 0.2500
K6 K 0.3750 0.6250 0.2500
K7 K 0.6250 0.3750 0.7500
K8 K 0.1250 0.8750 0.7500
K9 K 0.7500 0.8750 0.6250
K10 K 0.6250 0.2500 0.3750
K11 K 0.1250 0.2500 0.8750
K12 K 0.2500 0.6250 0.8750
Bi1 Bi 0.1250 0.3750 0.2500
Bi2 Bi 0.0000 0.5000 0.0000
Bi3 Bi 0.0000 0.0000 0.0000
Bi4 Bi 0.3750 0.2500 0.1250
Bi5 Bi 0.5000 0.0000 0.5000
Bi6 Bi 0.5000 0.5000 0.0000
Bi7 Bi 0.1250 0.7500 0.3750
Bi8 Bi 0.7500 0.1250 0.8750
Bi9 Bi 0.7500 0.6250 0.3750
Bi10 Bi 0.3750 0.1250 0.7500
Bi11 Bi 0.6250 0.8750 0.2500
Bi12 Bi 0.5000 0.5000 0.5000
Bi13 Bi 0.5000 0.0000 0.0000
Bi14 Bi 0.0000 0.0000 0.5000
Bi15 Bi 0.2500 0.3750 0.6250
Bi16 Bi 0.2500 0.8750 0.1250
Bi17 Bi 0.0000 0.5000 0.5000
Bi18 Bi 0.8750 0.2500 0.6250
Bi19 Bi 0.6250 0.7500 0.8750
Bi20 Bi 0.8750 0.6250 0.7500
Cl1 Cl 0.6610 0.1446 0.0118
Cl2 Cl 0.3508 0.5118 0.3671
Cl3 Cl 0.9882 0.3554 0.3390
Cl4 Cl 0.5118 0.1610 0.1446
Cl5 Cl 0.5163 0.6610 0.6492
Cl6 Cl 0.9882 0.6329 0.1492
Cl7 Cl 0.3508 0.8390 0.4837
Cl8 Cl 0.1329 0.9837 0.1446
Cl9 Cl 0.6329 0.9882 0.6492
Cl10 Cl 0.6610 0.5163 0.1492
Cl11 Cl 0.8390 0.4882 0.3554
Cl12 Cl 0.8508 0.8671 0.0118
Cl13 Cl 0.1446 0.6610 0.5118
Cl14 Cl 0.3554 0.3671 0.0163
Cl15 Cl 0.0163 0.8671 0.3554
Cl16 Cl 0.4837 0.1446 0.6329
Cl17 Cl 0.0163 0.1492 0.1610
Cl18 Cl 0.4882 0.6492 0.1329
Cl19 Cl 0.8508 0.9837 0.3390
Cl20 Cl 0.1446 0.4837 0.1329
Cl21 Cl 0.3554 0.9882 0.8390
Cl22 Cl 0.6329 0.6446 0.4837
Cl23 Cl 0.8671 0.8508 0.5118
Cl24 Cl 0.8390 0.3508 0.9837
Cl25 Cl 0.3671 0.3554 0.5163
Cl26 Cl 0.1329 0.1492 0.4882
Cl27 Cl 0.1610 0.6492 0.0163
Cl28 Cl 0.1492 0.0163 0.6610
Cl29 Cl 0.6446 0.0118 0.1610
Cl30 Cl 0.8554 0.5163 0.8671
Cl31 Cl 0.5118 0.3508 0.8671
Cl32 Cl 0.5163 0.8554 0.3671
Cl33 Cl 0.9837 0.8508 0.8390
Cl34 Cl 0.9837 0.1329 0.6446
Cl35 Cl 0.8554 0.3390 0.4882
Cl36 Cl 0.1492 0.1329 0.9882
Cl37 Cl 0.6446 0.6329 0.9837
Cl38 Cl 0.3671 0.0118 0.3508
Cl39 Cl 0.3390 0.4837 0.8508
Cl40 Cl 0.1610 0.5118 0.6446
Cl41 Cl 0.8671 0.0163 0.8554
Cl42 Cl 0.6492 0.1610 0.5163
Cl43 Cl 0.4882 0.8390 0.8554
Cl44 Cl 0.0118 0.3671 0.8508
Cl45 Cl 0.4837 0.3390 0.3508
Cl46 Cl 0.0118 0.6446 0.6610
Cl47 Cl 0.6492 0.4882 0.6329
Cl48 Cl 0.3390 0.8554 0.9882
```

Properties
For the formation energy from raw total energies, the calculation gives -0.87 eV/atom. Its symmetry is No. 230. For the total energy, the calculation gives -248.97 eV for the cell shown.

=====

Material: LiPr
Method: DFT, PBE
State: relaxed

Geometry as CIF:
```
data_LiPr
_chemical_formula_sum 'Li2 Pr2'
_symmetry_space_group_name_H-M 'P 1'
_symmetry_Int_Tables_number 1
_cell_length_a 3.7566
_cell_length_b 3.7546
_cell_length_c 8.0619
_cell_angle_alpha 90.00
_cell_angle_beta 90.00
_cell_angle_gamma 90.00
loop_
_symmetry_equiv_pos_as_xyz
'x,y,z'
loop_
_atom_site_label
_atom_site_type_symbol
_atom_site_fract_x
_atom_site_fract_y
_atom_site_fract_z
Pr1 Pr 0.2500 0.2500 0.6505
Pr2 Pr 0.7500 0.7500 0.3495
Li1 Li 0.2500 0.2500 0.0826
Li2 Li 0.7500 0.7500 0.9174
```

Properties
The formation enthalpy at 0 K is 0.053 eV per atom. Its symmetry is No. 129. For the total energy, the calculation gives -13.17 eV for the cell shown. As for the offset from the most stable computed form: 0.0 kJ per mole of atoms.